[1]
Sc3Re: optimized geometry, PBE-GGA.

The density of states at the Fermi level is 11.066 states/eV per cell. The theoretical density comes out at 6.41 Mg/m³. As for the space-group type: No. 65. For the formation energy, the calculation gives 8.4 kJ/mol of atoms. For the magnetic moment, the calculation gives 0.0 μB/f.u.

abc: 3.4022 5.0340 9.7109
angles: 90.00 90.00 90.00
Sites, in units of the cell vectors:
Sc (0.0000, 0.0000, 0.0000)
Sc (0.0000, 0.5000, 0.2891)
Sc (0.0000, 0.5000, 0.7109)
Sc (0.5000, 0.0000, 0.2891)
Sc (0.5000, 0.0000, 0.7109)
Sc (0.5000, 0.5000, 0.0000)
Re (0.0000, 0.0000, 0.5000)
Re (0.5000, 0.5000, 0.5000)



[2]
Sc3Re: optimized geometry, PBE-GGA.

The density of states at the Fermi level is 11.718 states/eV per cell. The theoretical density comes out at 6.85 Mg/m³. As for the space-group type: No. 166. For the formation energy, the calculation gives 13.1 kJ/mol of atoms. For the magnetic moment, the calculation gives 0.0 μB/f.u.

abc: 9.5773 9.5773 2.9414
angles: 90.00 90.00 120.00
Sites, in units of the cell vectors:
Sc (0.0000, 0.5000, 0.0000)
Sc (0.1667, 0.3333, 0.3333)
Sc (0.1667, 0.8333, 0.3333)
Sc (0.3333, 0.1667, 0.6667)
Sc (0.5000, 0.0000, 0.0000)
Sc (0.5000, 0.5000, 0.0000)
Sc (0.6667, 0.8333, 0.3333)
Sc (0.8333, 0.1667, 0.6667)
Sc (0.8333, 0.6667, 0.6667)
Re (0.0000, 0.0000, 0.0000)
Re (0.3333, 0.6667, 0.6667)
Re (0.6667, 0.3333, 0.3333)



[3]
ScRe: optimized geometry, PBE-GGA.

The density of states at the Fermi level is 4.433 states/eV per cell. The theoretical density comes out at 10.05 Mg/m³. As for the space-group type: No. 70. For the formation energy, the calculation gives 12.9 kJ/mol of atoms. For the magnetic moment, the calculation gives 0.0 μB/f.u.

abc: 8.2168 7.4812 4.9603
angles: 79.87 63.67 36.46
Sites, in units of the cell vectors:
Sc (0.0394, 0.7106, 0.0394)
Sc (0.2894, 0.9606, 0.2894)
Sc (0.7106, 0.0394, 0.7106)
Sc (0.9606, 0.2894, 0.9606)
Re (0.2898, 0.2898, 0.4602)
Re (0.4602, 0.4602, 0.2898)
Re (0.5398, 0.5398, 0.7102)
Re (0.7102, 0.7102, 0.5398)



[4]
ScRe: optimized geometry, PBE-GGA.

The density of states at the Fermi level is 12.044 states/eV per cell. The theoretical density comes out at 10.67 Mg/m³. As for the space-group type: No. 12. For the formation energy, the calculation gives -1.4 kJ/mol of atoms. For the magnetic moment, the calculation gives 0.0 μB/f.u.

abc: 10.2150 3.1661 7.1319
angles: 90.00 110.69 90.00
Sites, in units of the cell vectors:
Sc (0.0000, 0.0000, 0.0000)
Sc (0.1718, 0.5000, 0.7950)
Sc (0.3282, 0.0000, 0.2050)
Sc (0.5000, 0.5000, 0.0000)
Sc (0.6718, 0.0000, 0.7950)
Sc (0.8282, 0.5000, 0.2050)
Re (0.0000, 0.0000, 0.5000)
Re (0.1601, 0.5000, 0.3621)
Re (0.3399, 0.0000, 0.6379)
Re (0.5000, 0.5000, 0.5000)
Re (0.6601, 0.0000, 0.3621)
Re (0.8399, 0.5000, 0.6379)



[5]
ScRe: optimized geometry, PBE-GGA.

The density of states at the Fermi level is 8.663 states/eV per cell. The theoretical density comes out at 10.21 Mg/m³. As for the space-group type: No. 63. For the formation energy, the calculation gives 13.0 kJ/mol of atoms. For the magnetic moment, the calculation gives 0.0 μB/f.u.

abc: 3.0696 11.6670 4.1991
angles: 90.00 90.00 90.00
Sites, in units of the cell vectors:
Sc (0.0000, 0.1654, 0.2500)
Sc (0.0000, 0.8346, 0.7500)
Sc (0.5000, 0.3346, 0.7500)
Sc (0.5000, 0.6654, 0.2500)
Re (0.0000, 0.4423, 0.2500)
Re (0.0000, 0.5577, 0.7500)
Re (0.5000, 0.0577, 0.7500)
Re (0.5000, 0.9423, 0.2500)



[6]
Sc4Re: optimized geometry, PBE-GGA.

The density of states at the Fermi level is 7.413 states/eV per cell. The theoretical density comes out at 5.52 Mg/m³. As for the space-group type: No. 139. For the formation energy, the calculation gives 57.4 kJ/mol of atoms. For the magnetic moment, the calculation gives 0.0 μB/f.u. The energy above the most stable polymorph in this dataset is 541.1 meV per atom.

abc: 3.6950 3.6950 16.1283
angles: 90.00 90.00 90.00
Sites, in units of the cell vectors:
Sc (0.0000, 0.0000, 0.0847)
Sc (0.0000, 0.0000, 0.9153)
Sc (0.0000, 0.5000, 0.2500)
Sc (0.0000, 0.5000, 0.7500)
Sc (0.5000, 0.0000, 0.2500)
Sc (0.5000, 0.0000, 0.7500)
Sc (0.5000, 0.5000, 0.4153)
Sc (0.5000, 0.5000, 0.5847)
Re (0.0000, 0.0000, 0.5000)
Re (0.5000, 0.5000, 0.0000)



[7]
Sc2Re: optimized geometry, PBE-GGA.

The density of states at the Fermi level is 11.307 states/eV per cell. The theoretical density comes out at 7.40 Mg/m³. As for the space-group type: No. 140. For the formation energy, the calculation gives -9.2 kJ/mol of atoms. For the magnetic moment, the calculation gives 0.0 μB/f.u.

abc: 6.7717 6.7717 5.4014
angles: 90.00 90.00 90.00
Sites, in units of the cell vectors:
Sc (0.1689, 0.3311, 0.0000)
Sc (0.1689, 0.6689, 0.5000)
Sc (0.3311, 0.1689, 0.5000)
Sc (0.3311, 0.8311, 0.0000)
Sc (0.6689, 0.1689, 0.0000)
Sc (0.6689, 0.8311, 0.5000)
Sc (0.8311, 0.3311, 0.5000)
Sc (0.8311, 0.6689, 0.0000)
Re (0.0000, 0.0000, 0.2500)
Re (0.0000, 0.0000, 0.7500)
Re (0.5000, 0.5000, 0.2500)
Re (0.5000, 0.5000, 0.7500)



[8]
Sc3Re: optimized geometry, PBE-GGA.

The density of states at the Fermi level is 18.493 states/eV per cell. The theoretical density comes out at 6.66 Mg/m³. As for the space-group type: No. 139. For the formation energy, the calculation gives 9.7 kJ/mol of atoms. For the magnetic moment, the calculation gives 0.0 μB/f.u.

abc: 4.1886 4.1886 18.2426
angles: 90.00 90.00 90.00
Sites, in units of the cell vectors:
Sc (0.0000, 0.0000, 0.1261)
Sc (0.0000, 0.0000, 0.8739)
Sc (0.0000, 0.5000, 0.0000)
Sc (0.0000, 0.5000, 0.2500)
Sc (0.0000, 0.5000, 0.5000)
Sc (0.0000, 0.5000, 0.7500)
Sc (0.5000, 0.0000, 0.0000)
Sc (0.5000, 0.0000, 0.2500)
Sc (0.5000, 0.0000, 0.5000)
Sc (0.5000, 0.0000, 0.7500)
Sc (0.5000, 0.5000, 0.3739)
Sc (0.5000, 0.5000, 0.6261)
Re (0.0000, 0.0000, 0.3638)
Re (0.0000, 0.0000, 0.6362)
Re (0.5000, 0.5000, 0.1362)
Re (0.5000, 0.5000, 0.8638)



[9]
Sc2Re: optimized geometry, PBE-GGA.

The density of states at the Fermi level is 6.032 states/eV per cell. The theoretical density comes out at 8.22 Mg/m³. As for the space-group type: No. 71. For the formation energy, the calculation gives 7.8 kJ/mol of atoms. For the magnetic moment, the calculation gives 0.0 μB/f.u.

abc: 2.8535 4.7779 8.1813
angles: 90.00 90.00 90.00
Sites, in units of the cell vectors:
Sc (0.0000, 0.0000, 0.1664)
Sc (0.0000, 0.0000, 0.8336)
Sc (0.5000, 0.5000, 0.3336)
Sc (0.5000, 0.5000, 0.6664)
Re (0.0000, 0.0000, 0.5000)
Re (0.5000, 0.5000, 0.0000)



[10]
ScRe: optimized geometry, PBE-GGA.

The density of states at the Fermi level is 3.502 states/eV per cell. The theoretical density comes out at 11.29 Mg/m³. As for the space-group type: No. 65. For the formation energy, the calculation gives 3.8 kJ/mol of atoms. For the magnetic moment, the calculation gives 0.0 μB/f.u.

abc: 3.2588 4.6403 4.4948
angles: 90.00 90.00 90.00
Sites, in units of the cell vectors:
Sc (0.0000, 0.0000, 0.0000)
Sc (0.5000, 0.5000, 0.0000)
Re (0.0000, 0.5000, 0.5000)
Re (0.5000, 0.0000, 0.5000)



[11]
ScRe5: optimized geometry, PBE-GGA.

The density of states at the Fermi level is 9.603 states/eV per cell. The theoretical density comes out at 17.19 Mg/m³. As for the space-group type: No. 8. For the formation energy, the calculation gives 8.2 kJ/mol of atoms. For the magnetic moment, the calculation gives 0.0 μB/f.u. The energy above the most stable polymorph in this dataset is 3.9 meV per atom.

abc: 10.0119 3.0214 6.5809
angles: 90.00 108.66 90.00
Sites, in units of the cell vectors:
Sc (0.0000, 0.0000, 0.0000)
Sc (0.5000, 0.5000, 0.0000)
Re (0.1559, 0.5000, 0.7814)
Re (0.1646, 0.5000, 0.3594)
Re (0.3092, 0.0000, 0.1357)
Re (0.3335, 0.0000, 0.6717)
Re (0.4634, 0.5000, 0.4640)
Re (0.6559, 0.0000, 0.7814)
Re (0.6646, 0.0000, 0.3594)
Re (0.8092, 0.5000, 0.1357)
Re (0.8335, 0.5000, 0.6717)
Re (0.9634, 0.0000, 0.4640)



[12]
ScRe: optimized geometry, PBE-GGA.

The density of states at the Fermi level is 6.129 states/eV per cell. The theoretical density comes out at 11.07 Mg/m³. As for the space-group type: No. 166. For the formation energy, the calculation gives 24.3 kJ/mol of atoms. For the magnetic moment, the calculation gives 0.0 μB/f.u.

abc: 2.9670 2.9670 13.6404
angles: 90.00 90.00 120.00
Sites, in units of the cell vectors:
Sc (0.0000, 0.0000, 0.0000)
Sc (0.3333, 0.6667, 0.6667)
Sc (0.6667, 0.3333, 0.3333)
Re (0.0000, 0.0000, 0.5000)
Re (0.3333, 0.6667, 0.1667)
Re (0.6667, 0.3333, 0.8333)



Repeat the first record exactly.
Sc3Re: optimized geometry, PBE-GGA.

The density of states at the Fermi level is 11.066 states/eV per cell. The theoretical density comes out at 6.41 Mg/m³. As for the space-group type: No. 65. For the formation energy, the calculation gives 8.4 kJ/mol of atoms. For the magnetic moment, the calculation gives 0.0 μB/f.u.

abc: 3.4022 5.0340 9.7109
angles: 90.00 90.00 90.00
Sites, in units of the cell vectors:
Sc (0.0000, 0.0000, 0.0000)
Sc (0.0000, 0.5000, 0.2891)
Sc (0.0000, 0.5000, 0.7109)
Sc (0.5000, 0.0000, 0.2891)
Sc (0.5000, 0.0000, 0.7109)
Sc (0.5000, 0.5000, 0.0000)
Re (0.0000, 0.0000, 0.5000)
Re (0.5000, 0.5000, 0.5000)



Which formula does entry 4 have? ScRe